(1)
## Sc2AlCu (GGA-PBE)

Data for an optimized crystal structure of Sc2AlCu.

Unit cell a=3.122 b=4.177 c=5.849 alpha=90.00 beta=90.00 gamma=90.00
Sites, in units of the cell vectors:
Cu: 0.500 0.500 0.755
Sc: 0.000 0.000 0.974
Al: 0.000 0.000 0.490
Sc: 0.500 0.500 0.282

Summary:
Formation energy from the elements ... -0.4 eV/f.u.


(2)
## Ba2Na6Sr3 (GGA-PBE)

Data for an optimized crystal structure of Ba2Na6Sr3.

Unit cell a=6.263 b=9.977 c=9.977 alpha=120.00 beta=90.00 gamma=90.00
Sites, in units of the cell vectors:
Na: 0.000 0.793 0.000
Ba: 0.000 0.667 0.333
Sr: 0.500 0.554 0.000
Ba: 0.000 0.333 0.667
Sr: 0.500 0.446 0.446
Na: 0.500 0.000 0.197
Sr: 0.500 0.000 0.554
Na: 0.000 0.000 0.793
Na: 0.500 0.803 0.803
Na: 0.000 0.207 0.207
Na: 0.500 0.197 0.000

Summary:
Formation energy from the elements ... 1.1 eV/f.u.
E above lowest polymorph ... 29 meV per atom


Which value of formation energy from the elements does entry 1 give?
-0.4 eV/f.u.


Which value of formation energy from the elements does entry 2 give?
1.1 eV/f.u.


Among the records above, which one has the highest formation energy from the elements?
Ba2Na6Sr3